Material: TlSiAg
Method: DFT, PBE-GGA
State: relaxed

Lattice parameters (Å, degrees): 5.0659 3.7729 7.8524 90.00 67.69 90.00
Closest atoms and distances in Å follow each position.
Positions (direct):
Tl  0.0776  0.1542  0.9262  3 Si 3.15-3.50, 3 Ag 3.28-3.30, 4 Tl 3.38-3.49
Tl  0.6723  0.6542  0.7400  3 Si 3.15-3.50, 3 Ag 3.28-3.30, 4 Tl 3.38-3.49
Si  0.0199  0.6546  0.2599  2 Si 2.40, 2 Ag 2.51-2.67
Si  0.7300  0.1546  0.4062  2 Si 2.40, 2 Ag 2.51-2.67
Ag  0.2020  0.1545  0.4819  2 Si 2.51-2.67
Ag  0.5479  0.6545  0.1842  2 Si 2.51-2.67

Summary:
Magnetic moment (μB/f.u.): 0.00
SG: No. 11
Uncorrected formation energy (eV per formula unit): 0.654